Entry 1:
LiH3Br | PBE-GGA | relaxed

Results
Excess energy over the best structure of this formula in the dataset   63.6 meV/atom

Lattice parameters (Å, degrees): 3.6363 3.6363 3.6363 90.00 90.00 90.00
Last column: nearest neighbours and their distance in Å.
Space group Pm-3m (No. 221)
One atom of each set of equivalent atoms:
1 Li 0.0000 0.0000 0.0000 [1 per cell]  6 H 1.82
2 H 0.0000 0.0000 0.5000 [3 per cell]  2 Li 1.82
3 Br 0.5000 0.5000 0.5000 [1 per cell]  12 H 2.57

---

Entry 2:
CeZn4Pt | PBE-GGA | relaxed

Results
Excess energy over the best structure of this formula in the dataset   0.0 meV/atom
Formation energy from the elements   -0.31 eV/atom

Lattice parameters (Å, degrees): 7.4688 7.4688 7.4688 90.00 90.00 90.00
Last column: nearest neighbours and their distance in Å.
Space group F-43m (No. 216)
One atom of each set of equivalent atoms:
1 Ce 0.0000 0.0000 0.0000 [4 per cell]  12 Zn 3.10, 4 Pt 3.23
2 Zn 0.1236 0.1236 0.3764 [16 per cell]  6 Zn 2.61-2.67
3 Pt 0.2500 0.2500 0.7500 [4 per cell]  12 Zn 3.09, 4 Ce 3.23

---

Entry 3:
CoC3 | PBE-GGA | relaxed

Results
Excess energy over the best structure of this formula in the dataset   1380.7 meV/atom
Formation energy from the elements   2.00 eV/atom

Lattice parameters (Å, degrees): 2.4335 2.4335 21.1460 90.00 90.00 90.00
Last column: nearest neighbours and their distance in Å.
Space group I4/mmm (No. 139)
One atom of each set of equivalent atoms:
1 Co 0.0000 0.0000 0.1566 [4 per cell]  4 C 1.91
2 C 0.0000 0.0000 0.3828 [4 per cell]  4 Co 1.91
3 C 0.0000 0.5000 0.0000 [4 per cell]  4 C 1.72
4 C 0.0000 0.5000 0.2500 [4 per cell]  4 C 1.72

---

Entry 4:
Tb2SmAl3 | PBE-GGA | relaxed

Results
Excess energy over the best structure of this formula in the dataset   0.0 meV/atom
Formation energy from the elements   -0.39 eV/atom

Lattice parameters (Å, degrees): 3.6233 3.6233 10.9865 90.00 90.00 90.00
Last column: nearest neighbours and their distance in Å.
Space group P4/mmm (No. 123)
One atom of each set of equivalent atoms:
1 Tb 0.0000 0.0000 0.1642 [2 per cell]  8 Al 3.13
2 Sm 0.0000 0.0000 0.5000 [1 per cell]  8 Al 3.19
3 Al 0.5000 0.5000 0.0000 [1 per cell]  8 Tb 3.13
4 Al 0.5000 0.5000 0.3274 [2 per cell]  4 Tb 3.13, 4 Sm 3.19

---

Entry 5:
NdSc2Al3 | PBE-GGA | relaxed

Results
Formation energy from the elements   -0.41 eV/atom

Lattice parameters (Å, degrees): 3.4859 3.4859 10.5515 90.00 90.00 90.00
Last column: nearest neighbours and their distance in Å.
Space group P4/mmm (No. 123)
One atom of each set of equivalent atoms:
1 Nd 0.0000 0.0000 0.0000 [1 per cell]  8 Al 3.22, 4 Nd 3.49
2 Sc 0.0000 0.0000 0.3458 [2 per cell]  8 Al 2.93-2.95, 1 Sc 3.25
3 Al 0.5000 0.5000 0.1962 [2 per cell]  4 Sc 2.93, 1 Al 3.21, 4 Nd 3.22
4 Al 0.5000 0.5000 0.5000 [1 per cell]  8 Sc 2.95, 2 Al 3.21

---

Entry 6:
CaTa2Cd | PBE-GGA | relaxed

Results
Formation energy from the elements   0.51 eV/atom

Lattice parameters (Å, degrees): 2.9976 5.4474 5.3021 90.00 96.01 90.00
Last column: nearest neighbours and their distance in Å.
Space group P2/m (No. 10)
One atom of each set of equivalent atoms:
1 Ca 0.0000 0.0000 0.0000 [1 per cell]  4 Cd 2.91-3.18, 2 Ca 3.00
2 Ta 0.3468 0.5000 0.7393 [2 per cell]  5 Ta 2.79-3.11, 2 Cd 3.06
3 Cd 0.5000 0.0000 0.5000 [1 per cell]  4 Ca 2.91-3.18, 2 Cd 3.00, 4 Ta 3.06

---

Entry 7:
CeLuTcAu | PBE-GGA | relaxed

Results
Formation energy from the elements   -0.34 eV/atom

Lattice parameters (Å, degrees): 7.0122 7.0122 7.0122 90.00 90.00 90.00
Last column: nearest neighbours and their distance in Å.
Space group F-43m (No. 216)
One atom of each set of equivalent atoms:
1 Ce 0.0000 0.0000 0.0000 [4 per cell]  4 Au 3.04, 4 Tc 3.04
2 Lu 0.0000 0.0000 0.5000 [4 per cell]  4 Tc 3.04, 4 Au 3.04
3 Tc 0.2500 0.2500 0.2500 [4 per cell]  4 Ce 3.04, 4 Lu 3.04
4 Au 0.2500 0.2500 0.7500 [4 per cell]  4 Ce 3.04, 4 Lu 3.04

---

Entry 8:
Ac8PdRh3Br4 | PBE-GGA | relaxed

Results
Raw total energy   -5.327 eV/atom

Lattice parameters (Å, degrees): 8.7288 8.7288 24.9076 90.00 90.00 120.00
Last column: nearest neighbours and their distance in Å.
Space group R-3m (No. 166, hexagonal axes)
One atom of each set of equivalent atoms:
1 Ac 0.0000 0.0000 0.2317 [6 per cell]  3 Rh 3.00
2 Ac 0.0065 0.5033 0.7682 [18 per cell]  2 Rh 2.98, 1 Pd 3.04
3 Pd 0.0000 0.0000 0.5000 [3 per cell]  6 Ac 3.04
4 Rh 0.0000 0.5000 0.5000 [9 per cell]  6 Ac 2.98-3.00
5 Br 0.0000 0.0000 0.0000 [3 per cell]  6 Ac 3.53
6 Br 0.0000 0.5000 0.0000 [9 per cell]  6 Ac 3.57-3.59

---

Entry 9:
Tb7Mg2Ag2 | PBE-GGA | relaxed

Results
Formation energy from the elements   0.14 eV/atom

Lattice parameters (Å, degrees): 7.9905 11.2619 7.5408 90.00 90.00 90.00
Last column: nearest neighbours and their distance in Å.
Space group Cmmm (No. 65)
One atom of each set of equivalent atoms:
1 Tb 0.0000 0.0000 0.0000 [2 per cell]  2 Ag 3.31
2 Tb 0.0000 0.5000 0.2529 [4 per cell]  2 Ag 3.00, 2 Mg 3.22
3 Tb 0.2500 0.2500 0.2715 [8 per cell]  2 Ag 2.90
4 Mg 0.1715 0.0000 0.5000 [4 per cell]  1 Mg 2.74
5 Ag 0.0000 0.2941 0.0000 [4 per cell]  6 Tb 2.90-3.00

---

Entry 10:
Cs7K4Au | PBE-GGA | relaxed

Results
Formation energy from the elements   -0.05 eV/atom

Lattice parameters (Å, degrees): 16.4991 7.3934 17.7720 90.00 102.22 90.00
Last column: nearest neighbours and their distance in Å.
Space group C2/m (No. 12)
One atom of each set of equivalent atoms:
1 Cs 0.0000 0.0000 0.0000 [2 per cell]  2 Au 3.70
2 Cs 0.0824 0.0000 0.6503 [4 per cell]  5 K 4.94-5.24, 7 Cs 5.10-5.46
3 Cs 0.1411 0.5000 0.4464 [4 per cell]  4 K 5.08-5.27, 8 Cs 5.20-5.41
4 Cs 0.2146 0.5000 0.0899 [4 per cell]  1 Au 3.56
5 K 0.0438 0.5000 0.8241 [4 per cell]  1 Au 3.35
6 K 0.1918 0.0000 0.2660 [4 per cell]  9 Cs 4.91-5.27, 3 K 4.96-5.36
7 Au 0.0000 0.5000 0.0000 [2 per cell]  2 K 3.35, 4 Cs 3.56-3.70

---

Entry 11:
Ho4ZnTc | PBE-GGA | relaxed

Results
Excess energy over the best structure of this formula in the dataset   300.5 meV/atom
Formation energy from the elements   0.12 eV/atom

Lattice parameters (Å, degrees): 9.3336 9.3336 8.3405 90.00 90.00 90.00
Last column: nearest neighbours and their distance in Å.
Space group I4_1md (No. 109)
One atom of each set of equivalent atoms:
1 Ho 0.0000 0.2930 0.0000 [8 per cell]  2 Tc 2.74, 1 Zn 2.93
2 Ho 0.0000 0.3052 0.4687 [8 per cell]  1 Tc 2.68, 2 Zn 2.85-2.88
3 Zn 0.0000 0.0000 0.4864 [4 per cell]  6 Ho 2.85-2.93
4 Tc 0.0000 0.0000 0.9821 [4 per cell]  6 Ho 2.68-2.74

---

Entry 12:
SbP2OF | PBE-GGA | relaxed

Results
Raw total energy   -3.869 eV/atom

Lattice parameters (Å, degrees): 5.1520 5.1520 3.9650 90.00 90.00 90.00
Last column: nearest neighbours and their distance in Å.
Space group P4/mmm (No. 123)
One atom of each set of equivalent atoms:
1 Sb 0.0000 0.0000 0.0000 [1 per cell]  2 O 1.98
2 P 0.0000 0.5000 0.0000 [2 per cell]  2 Sb 2.58
3 O 0.0000 0.0000 0.5000 [1 per cell]  2 Sb 1.98
4 F 0.5000 0.5000 0.5000 [1 per cell]  8 P 3.25